The following is a PBE calculation of crystalline SrYBr at its relaxed geometry, from the Alexandria database.

Computed properties:
formation energy (no corrections)	-72	kJ/mol of atoms
VASP energy	-4.024	eV per atom
energy above the lowest structure with this stoichiometry	0.0	meV/atom
N(E_F)	0.6019	states/eV per atom

Cell lengths 3.9080, 3.9080, 7.6118 Å; angles 90.00, 90.00, 120.00 degrees
Space group P3m1 (No. 156)
Unique sites:
Sr 0.0000 0.0000 0.0000 [1 per cell]
Y 0.6667 0.3333 0.3923 [1 per cell]
Br 0.3333 0.6667 0.6755 [1 per cell]

The following is a PBE calculation of crystalline Cs2PmPtO4 at its relaxed geometry, from the Alexandria database.

Computed properties:
formation energy (no corrections)	-134	kJ/mol of atoms
VASP energy	-5.430	eV per atom
N(E_F)	0.9223	states/eV per atom

Cell lengths 6.314, 14.645, 24.033 Å; angles 90.00, 90.00, 90.00 degrees
Space group Fddd (No. 70, origin choice 2)
Unique sites:
Cs 0.125 0.125 0.309 [16 per cell]
Pm 0.125 0.125 0.125 [8 per cell]
Pt 0.125 0.125 0.625 [8 per cell]
O 0.102 0.278 0.873 [32 per cell]

The following is a PBE calculation of crystalline Ho2PaO6 at its relaxed geometry, from the Alexandria database.

Computed properties:
formation energy (no corrections)	-329	kJ/mol of atoms
VASP energy	-8.784	eV per atom
N(E_F)	1.0145	states/eV per atom

Cell lengths 3.836, 5.387, 11.365 Å; angles 90.00, 90.00, 90.00 degrees
Space group Immm (No. 71)
Unique sites:
Ho 0.000 0.000 0.168 [4 per cell]
Pa 0.000 0.000 0.500 [2 per cell]
O 0.000 0.245 0.338 [8 per cell]
O 0.000 0.260 0.000 [4 per cell]

The following is a PBE calculation of crystalline BeMo2Cl at its relaxed geometry, from the Alexandria database.

Computed properties:
formation energy (no corrections)	52	kJ/mol of atoms
VASP energy	-6.274	eV per atom
energy above the lowest structure with this stoichiometry	315.6	meV/atom
N(E_F)	0.6703	states/eV per atom

Cell lengths 8.664, 2.965, 4.548 Å; angles 90.00, 105.27, 90.00 degrees
Space group Cm (No. 8)
Unique sites:
Be 0.000 0.000 0.000 [2 per cell]
Mo 0.006 0.500 0.555 [2 per cell]
Mo 0.267 0.000 0.886 [2 per cell]
Cl 0.255 0.500 0.303 [2 per cell]

The following is a PBE calculation of crystalline NaLaSnO4 at its relaxed geometry, from the Alexandria database.

Computed properties:
formation energy (no corrections)	-217	kJ/mol of atoms
VASP energy	-6.542	eV per atom
N(E_F)	0.0000	states/eV per atom

Cell lengths 4.068, 4.068, 12.403 Å; angles 90.00, 90.00, 90.00 degrees
Space group I4mm (No. 107)
Unique sites:
Na 0.000 0.000 0.000 [2 per cell]
La 0.000 0.000 0.699 [2 per cell]
Sn 0.000 0.000 0.356 [2 per cell]
O 0.000 0.000 0.183 [2 per cell]
O 0.000 0.000 0.519 [2 per cell]
O 0.000 0.500 0.335 [4 per cell]

The following is a PBE calculation of crystalline ZrCu2Hg at its relaxed geometry, from the Alexandria database.

Computed properties:
VASP energy	-4.256	eV per atom
energy of formation	0.00	eV/atom
N(E_F)	0.7070	states/eV per atom

Cell lengths 3.284, 3.284, 6.399 Å; angles 90.00, 90.00, 90.00 degrees
Space group P4/mmm (No. 123)
Unique sites:
Zr 0.000 0.000 0.000 [1 per cell]
Cu 0.500 0.500 0.248 [2 per cell]
Hg 0.000 0.000 0.500 [1 per cell]

The following is a PBE calculation of crystalline PrDyPdAu at its relaxed geometry, from the Alexandria database.

Computed properties:
VASP energy	-5.296	eV per atom
energy above the lowest structure with this stoichiometry	0.0	meV/atom
energy of formation	-0.83	eV/atom
N(E_F)	0.5903	states/eV per atom

Cell lengths 4.766, 3.849, 10.801 Å; angles 90.00, 90.00, 90.00 degrees
Space group Amm2 (No. 38)
Unique sites:
Pr 0.000 0.000 0.000 [2 per cell]
Dy 0.500 0.000 0.276 [2 per cell]
Pd 0.000 0.000 0.727 [2 per cell]
Au 0.500 0.000 0.558 [2 per cell]

The following is a PBE calculation of crystalline PaBe2Ga at its relaxed geometry, from the Alexandria database.

Computed properties:
VASP energy	-5.047	eV per atom
energy of formation	-0.05	eV/atom
N(E_F)	0.6574	states/eV per atom

Cell lengths 3.8533, 3.8533, 14.4627 Å; angles 90.00, 90.00, 120.00 degrees
Space group R-3m (No. 166, hexagonal axes)
Unique sites:
Pa 0.0000 0.0000 0.0000 [3 per cell]
Be 0.0000 0.0000 0.2066 [6 per cell]
Ga 0.0000 0.0000 0.5000 [3 per cell]

What is the formula in the seventh record?
PrDyPdAu